The following is a DFT calculation (PBE) of a relaxed GeSbN3 crystal.

Lattice parameters (Å, degrees): 3.862 3.862 3.862 90.00 90.00 90.00
Space group Pm-3m (No. 221)
Asymmetric unit:
Ge 0.000 0.000 0.000 [1 per cell]
Sb 0.500 0.500 0.500 [1 per cell]
N 0.000 0.000 0.500 [3 per cell]

Results
theoretical density	6.81	g/cm³
raw formation energy	1.22	eV per atom
Fermi-level density of states	0.669	states/eV/atom